(1)
DFT (GGA-PBE) results for an optimized crystal structure of DyNi6BP.

Cell: 7.5054 6.5051 7.1010 Å, 117.26 121.90 90.00°
Atoms (fractional coordinates):
Dy  0.9276  0.6776  0.8551
Dy  0.0724  0.3224  0.1449
Ni  0.3606  0.6106  0.7212
Ni  0.8014  0.0514  0.6029
Ni  0.8533  0.0925  0.2509
Ni  0.3976  0.6584  0.2509
Ni  0.3976  0.0925  0.2509
Ni  0.8533  0.6584  0.2509
Ni  0.6394  0.3894  0.2788
Ni  0.1986  0.9486  0.3971
Ni  0.1467  0.9075  0.7491
Ni  0.6024  0.3416  0.7491
Ni  0.6024  0.9075  0.7491
Ni  0.1467  0.3416  0.7491
B  0.5000  0.0000  0.5000
B  0.0000  0.0000  0.5000
P  0.5000  0.5000  0.0000
P  0.5000  0.0000  0.0000

- energy (eV per atom) = -5.91
- space group = Imma
- crystal system = orthorhombic
- calculated volume (Å³/cell) = 247.81

***

(2)
DFT (GGA-PBE) results for an optimized crystal structure of Dy2NiBPt6.

Cell: 5.5732 7.2902 7.2903 Å, 44.94 67.53 90.00°
Atoms (fractional coordinates):
Dy  0.7064  0.2937  0.5873
Dy  0.2936  0.7063  0.4127
Ni  0.0000  0.0000  0.0000
B  0.5000  0.5000  0.0000
Pt  0.2623  0.2228  0.4754
Pt  0.7774  0.7378  0.9604
Pt  0.2623  0.7378  0.9604
Pt  0.7377  0.2622  0.0396
Pt  0.2226  0.2622  0.0396
Pt  0.7377  0.7772  0.5246

- energy (eV per atom) = -6.58
- space group = R-3m
- crystal system = trigonal
- calculated volume (Å³/cell) = 175.97